Record 1
DFT (PBE-GGA) results for a relaxed LuGaCuRh crystal.

abc: 4.524 4.524 4.524
angles: 60.00 60.00 60.00
Fractional positions:
Lu (0.250, 0.250, 0.250)
Rh (0.000, 0.000, 0.000)
Cu (0.500, 0.500, 0.500)
Ga (0.750, 0.750, 0.750)



Record 2
DFT (PBE-GGA) results for a relaxed LuGaCuRu crystal.

abc: 4.510 4.510 4.510
angles: 60.00 60.00 60.00
Fractional positions:
Ru (0.750, 0.750, 0.750)
Lu (0.500, 0.500, 0.500)
Cu (0.250, 0.250, 0.250)
Ga (0.000, 0.000, 0.000)



no.,energy of formation from the pure elements (eV per atom)
1,-0.55
2,-0.30